DFT (PBE) results for an optimized crystal structure of TbDySe2O. Values from VASP.

Properties
* electronic total energy: -66.5 eV/cell
* size of the total moment: 0.00 μB per cell
* space-group type: P4/nmm
* formation energy (no corrections): -2.415 eV per atom

Quantum ESPRESSO input file:
```
&SYSTEM
  ibrav = 0, nat = 10, ntyp = 4
/
ATOMIC_SPECIES
Tb 158.93 Tb.upf
Dy 162.50 Dy.upf
Se 78.96 Se.upf
O 16.00 O.upf
ATOMIC_POSITIONS crystal
Tb 0.2500 0.2500 0.0759
Tb 0.7500 0.7500 0.9241
Dy 0.2500 0.2500 0.6288
Dy 0.7500 0.7500 0.3712
Se 0.2500 0.2500 0.4118
Se 0.2500 0.2500 0.8092
Se 0.7500 0.7500 0.1908
Se 0.7500 0.7500 0.5882
O 0.2500 0.7500 0.0000
O 0.7500 0.2500 0.0000
CELL_PARAMETERS angstrom
3.9750 0.0000 0.0000
0.0000 3.9750 0.0000
0.0000 0.0000 14.5785
```